# Cu3NiPd7

Crystalline Cu3NiPd7 at its relaxed geometry (PBE, Alexandria via LeMat-Bulk).

Computed properties:
symmetry	P3m1
formation energy	0.076	eV/atom

Unit cell a=5.4397 b=5.4397 c=6.4513 alpha=90.00 beta=90.00 gamma=120.00
Fractional positions:
Cu  0.0117  0.5058  0.0000
Cu  0.4942  0.5058  0.0000
Cu  0.4942  0.9883  0.0000
Ni  0.3333  0.6667  0.6768
Pd  0.1666  0.3332  0.3282
Pd  0.1666  0.8334  0.3282
Pd  0.3312  0.1656  0.6871
Pd  0.6667  0.3333  0.3196
Pd  0.6668  0.8334  0.3282
Pd  0.8344  0.1656  0.6871
Pd  0.8344  0.6688  0.6871

---

# Cu12NiPd3

Crystalline Cu12NiPd3 at its relaxed geometry (PBE, Alexandria via LeMat-Bulk).

Computed properties:
symmetry	P4/mmm
formation energy	-0.074	eV/atom

Unit cell a=3.6971 b=3.6971 c=14.6828 alpha=90.00 beta=90.00 gamma=90.00
Fractional positions:
Cu  0.0000  0.0000  0.0000
Cu  0.0000  0.0000  0.2445
Cu  0.0000  0.0000  0.5000
Cu  0.0000  0.0000  0.7555
Cu  0.0000  0.5000  0.1171
Cu  0.0000  0.5000  0.3723
Cu  0.0000  0.5000  0.6277
Cu  0.0000  0.5000  0.8829
Cu  0.5000  0.0000  0.1171
Cu  0.5000  0.0000  0.3723
Cu  0.5000  0.0000  0.6277
Cu  0.5000  0.0000  0.8829
Ni  0.5000  0.5000  0.0000
Pd  0.5000  0.5000  0.2448
Pd  0.5000  0.5000  0.5000
Pd  0.5000  0.5000  0.7552

---

# Cu4Ni2Pd3

Crystalline Cu4Ni2Pd3 at its relaxed geometry (PBE, Alexandria via LeMat-Bulk).

Computed properties:
symmetry	C2/m
formation energy	-0.021	eV/atom

Unit cell a=4.5877 b=4.5877 c=7.8788 alpha=107.72 beta=107.72 gamma=48.16
Fractional positions:
Cu  0.0044  0.0044  0.1726
Cu  0.3330  0.3330  0.6073
Cu  0.6670  0.6670  0.3927
Cu  0.9956  0.9956  0.8274
Ni  0.3346  0.3346  0.2803
Ni  0.6654  0.6654  0.7197
Pd  0.0000  0.0000  0.5000
Pd  0.3306  0.3306  0.9365
Pd  0.6694  0.6694  0.0635

---

Please write out number 3 again, unchanged.
# Cu4Ni2Pd3

Crystalline Cu4Ni2Pd3 at its relaxed geometry (PBE, Alexandria via LeMat-Bulk).

Computed properties:
symmetry	C2/m
formation energy	-0.021	eV/atom

Unit cell a=4.5877 b=4.5877 c=7.8788 alpha=107.72 beta=107.72 gamma=48.16
Fractional positions:
Cu  0.0044  0.0044  0.1726
Cu  0.3330  0.3330  0.6073
Cu  0.6670  0.6670  0.3927
Cu  0.9956  0.9956  0.8274
Ni  0.3346  0.3346  0.2803
Ni  0.6654  0.6654  0.7197
Pd  0.0000  0.0000  0.5000
Pd  0.3306  0.3306  0.9365
Pd  0.6694  0.6694  0.0635

---

Number 3 is which compound? Cu4Ni2Pd3

---

Copy entry 2 word for word.
# Cu12NiPd3

Crystalline Cu12NiPd3 at its relaxed geometry (PBE, Alexandria via LeMat-Bulk).

Computed properties:
symmetry	P4/mmm
formation energy	-0.074	eV/atom

Unit cell a=3.6971 b=3.6971 c=14.6828 alpha=90.00 beta=90.00 gamma=90.00
Fractional positions:
Cu  0.0000  0.0000  0.0000
Cu  0.0000  0.0000  0.2445
Cu  0.0000  0.0000  0.5000
Cu  0.0000  0.0000  0.7555
Cu  0.0000  0.5000  0.1171
Cu  0.0000  0.5000  0.3723
Cu  0.0000  0.5000  0.6277
Cu  0.0000  0.5000  0.8829
Cu  0.5000  0.0000  0.1171
Cu  0.5000  0.0000  0.3723
Cu  0.5000  0.0000  0.6277
Cu  0.5000  0.0000  0.8829
Ni  0.5000  0.5000  0.0000
Pd  0.5000  0.5000  0.2448
Pd  0.5000  0.5000  0.5000
Pd  0.5000  0.5000  0.7552